Record 1
DFT (GGA-PBE) results for a relaxed structure of InGeAs.

```
3
Lattice="3.8915 0.0000 0.0000 -1.9457 3.3701 0.0000 0.0000 0.0000 5.4244" Properties=species:S:1:pos:R:3 pbc="T T T"
In 0.0000 0.0000 0.0000
Ge 0.0000 2.2467 3.3207
As 1.9457 1.1234 2.0113
```

Computed properties:
- ΔH_f (0 K) (eV per formula unit) = 0.05
- calculated volume (Å³ per atom) = 23.71
- distance to the lowest polymorph of the same formula (kJ/mol of formula units) = 0

Record 2
DFT (GGA-PBE) results for a relaxed structure of InGeAs3.

```
5
Lattice="5.1939 0.0000 0.0000 0.0000 5.1939 0.0000 0.0000 0.0000 5.1939" Properties=species:S:1:pos:R:3 pbc="T T T"
In 0.0000 0.0000 0.0000
Ge 2.5969 2.5969 2.5969
As 0.0000 0.0000 2.5969
As 0.0000 2.5969 0.0000
As 2.5969 0.0000 0.0000
```

Computed properties:
- ΔH_f (0 K) (eV per formula unit) = 4.99
- calculated volume (Å³ per atom) = 28.02
- distance to the lowest polymorph of the same formula (kJ/mol of formula units) = 192

Record 3
DFT (GGA-PBE) results for a relaxed structure of InGeAs2.

```
4
Lattice="1.9552 1.1289 6.5870 -1.9552 1.1289 6.5870 0.0000 -2.2577 6.5870" Properties=species:S:1:pos:R:3 pbc="T T T"
In 0.0000 0.0000 0.0000
Ge 0.0000 0.0000 9.8805
As 0.0000 0.0000 4.8067
As 0.0000 0.0000 14.9543
```

Computed properties:
- ΔH_f (0 K) (eV per formula unit) = 0.12
- calculated volume (Å³ per atom) = 21.81
- distance to the lowest polymorph of the same formula (kJ/mol of formula units) = 13